No. 1
A relaxed structure of CdTcAu2, computed with GGA-PBE.

Cell: 4.9562 4.9562 5.4095 Å, 82.20 82.20 32.59°
Positions (direct):
Au 0.0054 0.0054 0.9870
Au 0.4946 0.4946 0.5130
Cd 0.2500 0.2500 0.2500
Tc 0.7500 0.7500 0.7500

As for the density of states at the Fermi level: 3.12 states/eV/cell. The value obtained for the final energy is -16.65 eV per cell. As for the space group: No. 12. The volume is 71 Å³/f.u.

=====

No. 2
A relaxed structure of Dy2PuCd, computed with GGA-PBE.

Cell: 5.3965 5.3965 5.3965 Å, 60.00 60.00 60.00°
Positions (direct):
Cd 0.5000 0.5000 0.5000
Dy 0.2500 0.2500 0.2500
Dy 0.7500 0.7500 0.7500
Pu 0.0000 0.0000 0.0000

As for the density of states at the Fermi level: 13.92 states/eV/cell. The value obtained for the final energy is -24.17 eV per cell. As for the space group: No. 225. The volume is 111 Å³/f.u.

=====

No. 3
A relaxed structure of Li2HoTl3, computed with GGA-PBE.

Cell: 3.5868 3.5868 10.7862 Å, 90.00 90.00 90.00°
Positions (direct):
Li 0.5000 0.5000 0.8434
Li 0.5000 0.5000 0.1566
Ho 0.5000 0.5000 0.5000
Tl 0.0000 0.0000 0.0000
Tl 0.0000 0.0000 0.6911
Tl 0.0000 0.0000 0.3089

As for the density of states at the Fermi level: 2.72 states/eV/cell. The value obtained for the final energy is -17.03 eV per cell. As for the space group: No. 123. The volume is 139 Å³/f.u.

=====

No. 4
A relaxed structure of PrZn2, computed with GGA-PBE.

Cell: 4.6270 5.8156 5.8156 Å, 80.54 66.44 66.44°
Positions (direct):
Pr 0.4589 0.7906 0.2906
Pr 0.5411 0.2094 0.7094
Zn 0.1645 0.3936 0.2766
Zn 0.8355 0.2234 0.1064
Zn 0.8355 0.6064 0.7234
Zn 0.1645 0.7766 0.8936

As for the density of states at the Fermi level: 4.92 states/eV/cell. The value obtained for the final energy is -16.77 eV per cell. As for the space group: No. 12. The volume is 66 Å³/f.u.

=====

final energy of number 3 (Li2HoTl3)?
-17.03 eV per cell

=====

Which formula does entry 2 have?
Dy2PuCd

=====

Which of these has the highest final energy?
CdTcAu2

=====

Please write out number 1 again, unchanged.
A relaxed structure of CdTcAu2, computed with GGA-PBE.

Cell: 4.9562 4.9562 5.4095 Å, 82.20 82.20 32.59°
Positions (direct):
Au 0.0054 0.0054 0.9870
Au 0.4946 0.4946 0.5130
Cd 0.2500 0.2500 0.2500
Tc 0.7500 0.7500 0.7500

As for the density of states at the Fermi level: 3.12 states/eV/cell. The value obtained for the final energy is -16.65 eV per cell. As for the space group: No. 12. The volume is 71 Å³/f.u.